# 1
Ba5ScO6 | PBE | optimized geometry

As for the uncorrected formation energy: -2.51 eV/atom. The volume is 19.56 Å³ per atom. Its symmetry is C2/m, No. 12.

a = 6.5469 Å, b = 6.6115 Å, c = 6.6295 Å
α = 60.09°, β = 80.49°, γ = 70.66°
Fractional positions:
Ba 0.5000 0.5000 0.0000
O 0.2104 0.6542 0.2746
O 0.2104 0.9288 0.7254
Ba 0.5000 0.8374 0.3252
Sc 0.0000 0.0000 0.0000
Ba 0.5000 0.1626 0.6748
Ba 0.0000 0.6678 0.6644
O 0.7896 0.0712 0.2746
Ba 0.0000 0.3322 0.3356
O 0.2221 0.2077 0.0000
O 0.7896 0.3458 0.7254
O 0.7779 0.7923 0.0000

***

# 2
CdSe3 | PBE | optimized geometry

As for the uncorrected formation energy: 0.35 eV/atom. The volume is 21.59 Å³ per atom. Its symmetry is Fm-3m, No. 225.

a = 4.9614 Å, b = 4.9614 Å, c = 4.9614 Å
α = 60.00°, β = 60.00°, γ = 60.00°
Fractional positions:
Cd 0.0000 0.0000 0.0000
Se 0.5000 0.5000 0.5000
Se 0.2500 0.2500 0.2500
Se 0.7500 0.7500 0.7500

***

# 3
SnTeCI2 | PBE | optimized geometry

As for the uncorrected formation energy: 0.91 eV/atom. The volume is 26.22 Å³ per atom. Its symmetry is P4/mmm, No. 123. Its excess energy over the best structure of this formula in the dataset is 0.00 eV/f.u.

a = 5.1539 Å, b = 5.1539 Å, c = 4.9358 Å
α = 90.00°, β = 90.00°, γ = 90.00°
Fractional positions:
Sn 0.5000 0.5000 0.5000
C 0.0000 0.0000 0.0000
I 0.5000 0.0000 0.0000
Te 0.0000 0.0000 0.5000
I 0.0000 0.5000 0.0000

***

> Which formula does entry 2 have?

CdSe3

***

> Look up the volume of the first one.

19.56 Å³ per atom

***

> Among the records above, which one has the lowest volume?

Ba5ScO6